(1)
Compound: ZrCd2Ge
Source: the Open Quantum Materials Database
Functional: PBE
Structure: optimized geometry

## Properties
The final energy comes out at -0.268 Ry/atom. The calculation puts the theoretical density at 7.74 Mg/m³.

Unit cell a=6.9337 b=6.9337 c=6.9337 alpha=90.00 beta=90.00 gamma=90.00
Last column: nearest neighbours and their distance in Å.
Space group F-43m (No. 216)
Asymmetric unit:
Zr 0.0000 0.0000 0.0000 [4 per cell]  4 Cd 3.00, 4 Ge 3.00
Cd 0.0000 0.0000 0.5000 [4 per cell]  4 Ge 3.00, 4 Cd 3.00
Cd 0.2500 0.2500 0.2500 [4 per cell]  4 Cd 3.00, 4 Zr 3.00
Ge 0.2500 0.2500 0.7500 [4 per cell]  4 Cd 3.00, 4 Zr 3.00

(2)
Compound: LiSm2Pd5
Source: the Open Quantum Materials Database
Functional: PBE
Structure: optimized geometry

## Properties
The final energy comes out at -0.399 Ry/atom. The calculation puts the theoretical density at 9.58 Mg/m³.

Unit cell a=6.0052 b=6.0052 c=8.0729 alpha=90.00 beta=90.00 gamma=90.00
Last column: nearest neighbours and their distance in Å.
Space group I4mm (No. 107)
Asymmetric unit:
Li 0.0000 0.0000 0.0000 [2 per cell]  8 Pd 2.92-2.94, 4 Sm 3.00
Sm 0.0000 0.5000 0.4978 [4 per cell]  10 Pd 2.93-3.00, 2 Li 3.00
Pd 0.0000 0.0000 0.4977 [2 per cell]  8 Pd 2.93, 4 Sm 3.00
Pd 0.2502 0.2502 0.2480 [8 per cell]  2 Li 2.92-2.94, 4 Sm 2.93, 6 Pd 2.93-3.01

(3)
Compound: RbCuH3
Source: the Open Quantum Materials Database
Functional: PBE
Structure: optimized geometry

## Properties
The final energy comes out at -0.220 Ry/atom. The calculation puts the theoretical density at 3.28 Mg/m³. For the energy above the most stable polymorph in this dataset, the calculation gives 0.000 eV per atom.

Unit cell a=7.3458 b=4.4427 c=9.9304 alpha=90.00 beta=108.17 gamma=90.00
Last column: nearest neighbours and their distance in Å.
Space group P2_1/c (No. 14)
Asymmetric unit:
Rb 0.2033 0.1869 0.1664 [4 per cell]  4 H 2.67-2.76
Cu 0.4136 0.7441 0.9890 [4 per cell]  4 H 1.60-1.64
H 0.1863 0.7016 0.9316 [4 per cell]  1 Cu 1.60
H 0.3848 0.0813 0.9294 [4 per cell]  2 Cu 1.60-1.64
H 0.4882 0.0033 0.6170 [4 per cell]  2 Cu 1.64-1.80

(4)
Compound: PrPuMg
Source: the Open Quantum Materials Database
Functional: PBE
Structure: optimized geometry

## Properties
The final energy comes out at -0.462 Ry/atom. The calculation puts the theoretical density at 6.47 Mg/m³. For the energy above the most stable polymorph in this dataset, the calculation gives 0.000 eV per atom.

Unit cell a=7.4899 b=7.4899 c=7.4899 alpha=90.00 beta=90.00 gamma=90.00
Last column: nearest neighbours and their distance in Å.
Space group F-43m (No. 216)
Asymmetric unit:
Pr 0.0000 0.0000 0.0000 [4 per cell]  4 Mg 3.24
Pu 0.0000 0.0000 0.5000 [4 per cell]  4 Mg 3.24
Mg 0.2500 0.2500 0.2500 [4 per cell]  4 Pu 3.24, 4 Pr 3.24

(5)
Compound: La2Ag2SnGe
Source: the Open Quantum Materials Database
Functional: PBE
Structure: optimized geometry

## Properties
The final energy comes out at -0.343 Ry/atom. The calculation puts the theoretical density at 7.39 Mg/m³.

Unit cell a=4.7403 b=4.7403 c=7.9093 alpha=90.00 beta=90.00 gamma=120.00
Last column: nearest neighbours and their distance in Å.
Space group P3m1 (No. 156)
Asymmetric unit:
La 0.0000 0.0000 0.0000 [1 per cell]  6 Ag 3.24-3.58, 3 Sn 3.27, 3 Ge 3.52
La 0.0000 0.0000 0.4842 [1 per cell]  3 Ge 3.18, 6 Ag 3.26-3.44
Ag 0.3333 0.6667 0.7086 [1 per cell]  3 Sn 2.78
Ag 0.6667 0.3333 0.2197 [1 per cell]  3 Ge 2.78
Sn 0.6667 0.3333 0.7736 [1 per cell]  3 Ag 2.78
Ge 0.3333 0.6667 0.2803 [1 per cell]  3 Ag 2.78

(6)
Compound: NbWSe4
Source: the Open Quantum Materials Database
Functional: PBE
Structure: optimized geometry

## Properties
The final energy comes out at -0.504 Ry/atom. The calculation puts the theoretical density at 4.21 Mg/m³.

Unit cell a=3.4011 b=23.3411 c=5.8903 alpha=90.00 beta=90.00 gamma=90.00
Last column: nearest neighbours and their distance in Å.
Space group Cmm2 (No. 35)
Asymmetric unit:
Nb 0.0000 0.0000 0.0000 [2 per cell]  6 Se 2.59-2.62
W 0.0000 0.5000 0.5193 [2 per cell]  6 Se 2.54-2.57
Se 0.0000 0.0701 0.3476 [4 per cell]  2 W 2.57, 1 Nb 2.62
Se 0.0000 0.4268 0.8390 [4 per cell]  1 W 2.54, 2 Nb 2.59

(7)
Compound: Be2NiMo
Source: the Open Quantum Materials Database
Functional: PBE
Structure: optimized geometry

## Properties
The final energy comes out at -0.432 Ry/atom. The calculation puts the theoretical density at 6.51 Mg/m³.

Unit cell a=5.6046 b=5.6046 c=5.6046 alpha=90.00 beta=90.00 gamma=90.00
Last column: nearest neighbours and their distance in Å.
Space group F-43m (No. 216)
Asymmetric unit:
Be 0.0000 0.0000 0.0000 [4 per cell]  4 Mo 2.43, 4 Be 2.43
Be 0.2500 0.2500 0.2500 [4 per cell]  4 Ni 2.43, 4 Be 2.43
Ni 0.0000 0.0000 0.5000 [4 per cell]  4 Mo 2.43, 4 Be 2.43
Mo 0.2500 0.2500 0.7500 [4 per cell]  4 Ni 2.43, 4 Be 2.43

(8)
Compound: AcHo2S4
Source: the Open Quantum Materials Database
Functional: PBE
Structure: optimized geometry

## Properties
The final energy comes out at -0.468 Ry/atom. The calculation puts the theoretical density at 6.64 Mg/m³.

Unit cell a=3.9787 b=12.9239 c=13.3212 alpha=90.00 beta=90.00 gamma=90.00
Last column: nearest neighbours and their distance in Å.
Space group Cmcm (No. 63)
Asymmetric unit:
Ac 0.0000 0.1198 0.2500 [4 per cell]  6 S 2.97-3.03
Ho 0.0000 0.3706 0.0637 [8 per cell]  6 S 2.68-2.78
S 0.0000 0.0000 0.0000 [4 per cell]  4 Ho 2.73
S 0.0000 0.2692 0.6163 [8 per cell]  3 Ho 2.73-2.78, 2 Ac 3.03
S 0.0000 0.4494 0.2500 [4 per cell]  2 Ho 2.68, 2 Ac 2.97

(9)
Compound: DyTm2In3Cu3
Source: the Open Quantum Materials Database
Functional: PBE
Structure: optimized geometry

## Properties
The final energy comes out at -0.299 Ry/atom. The calculation puts the theoretical density at 9.23 Mg/m³.

Unit cell a=3.8272 b=12.9964 c=7.4909 alpha=90.00 beta=90.00 gamma=90.00
Last column: nearest neighbours and their distance in Å.
Space group Amm2 (No. 38)
Asymmetric unit:
Dy 0.0000 0.0000 0.0000 [2 per cell]  5 Cu 2.98-3.07, 6 In 3.15-3.30
Tm 0.0000 0.2038 0.6118 [4 per cell]  5 Cu 2.96-3.05, 6 In 3.15-3.29
In 0.5000 0.0000 0.6660 [2 per cell]  4 Cu 2.71-2.84
In 0.5000 0.1296 0.2796 [4 per cell]  4 Cu 2.73-2.83
Cu 0.0000 0.0000 0.4092 [2 per cell]  6 In 2.71-2.73
Cu 0.5000 0.1680 0.9080 [4 per cell]  3 In 2.80-2.84, 4 Tm 2.96-2.97, 2 Dy 2.98

(10)
Compound: CuGe2P3
Source: the Open Quantum Materials Database
Functional: PBE
Structure: optimized geometry

## Properties
The final energy comes out at -0.364 Ry/atom. The calculation puts the theoretical density at 4.27 Mg/m³.

Unit cell a=12.5956 b=3.8049 c=5.4152 alpha=90.00 beta=115.40 gamma=90.00
Last column: nearest neighbours and their distance in Å.
Space group Cm (No. 8)
Asymmetric unit:
Cu 0.0000 0.0000 0.0000 [2 per cell]  4 P 2.27-2.28
Ge 0.1639 0.5000 0.6782 [2 per cell]  4 P 2.32-2.39
Ge 0.3378 0.0000 0.3525 [2 per cell]  4 P 2.32-2.39
P 0.0005 0.5000 0.7716 [2 per cell]  2 Cu 2.27, 2 Ge 2.32
P 0.1618 0.0000 0.4085 [2 per cell]  1 Cu 2.28, 3 Ge 2.36-2.39
P 0.3391 0.5000 0.0873 [2 per cell]  1 Cu 2.27, 3 Ge 2.36-2.39

(11)
Compound: Pr4CBr3F2
Source: the Open Quantum Materials Database
Functional: PBE
Structure: optimized geometry

## Properties
The final energy comes out at -0.413 Ry/atom. The calculation puts the theoretical density at 5.06 Mg/m³.

Unit cell a=17.8209 b=3.8830 c=8.3155 alpha=90.00 beta=103.07 gamma=90.00
Last column: nearest neighbours and their distance in Å.
Space group C2/m (No. 12)
Asymmetric unit:
Pr 0.0029 0.0000 0.2105 [4 per cell]  1 F 2.49, 2 C 2.61
Pr 0.1439 0.5000 0.0854 [4 per cell]  2 F 2.43, 1 C 2.50
C 0.0000 0.5000 0.0000 [2 per cell]  6 Pr 2.50-2.61
Br 0.0000 0.5000 0.5000 [2 per cell]  4 Pr 3.10
Br 0.1710 0.0000 0.8229 [4 per cell]  4 Pr 3.04-3.21
F 0.1460 0.0000 0.2625 [4 per cell]  3 Pr 2.43-2.49

(12)
Compound: KFeCuTe3
Source: the Open Quantum Materials Database
Functional: PBE
Structure: optimized geometry

## Properties
The final energy comes out at -0.294 Ry/atom. The calculation puts the theoretical density at 5.62 Mg/m³.

Unit cell a=3.9162 b=15.5331 c=10.5221 alpha=90.00 beta=90.00 gamma=90.00
Last column: nearest neighbours and their distance in Å.
Space group Cmcm (No. 63)
Asymmetric unit:
K 0.0000 0.2376 0.2500 [4 per cell]  8 Te 3.59-3.76, 2 Cu 3.62, 2 K 3.92
Fe 0.0000 0.0000 0.0000 [4 per cell]  6 Te 2.65-2.83
Cu 0.0000 0.4585 0.7500 [4 per cell]  4 Te 2.56-2.58
Te 0.0000 0.0667 0.7500 [4 per cell]  2 Cu 2.58, 2 Fe 2.83
Te 0.0000 0.3873 0.5310 [8 per cell]  1 Cu 2.56, 2 Fe 2.65